1.
Compound: KLaPO4
Source: Alexandria via LeMat-Bulk
Functional: PBE
Structure: relaxed

abc: 6.289 6.289 6.289
angles: 60.00 60.00 60.00
Sites, in units of the cell vectors:
K 0.750 0.750 0.750
La 0.500 0.500 0.500
P 0.250 0.250 0.250
O 0.351 0.351 0.947
O 0.351 0.351 0.351
O 0.351 0.947 0.351
O 0.947 0.351 0.351

Formation energy (no corrections), eV per atom: -2.337
Fermi-level density of states, states/eV per cell: 1.45
E, eV per atom: -6.80
Spin magnetization, μB per atom: 0.00
Symmetry: No. 216

2.
Compound: KLaPO2
Source: Alexandria via LeMat-Bulk
Functional: PBE
Structure: relaxed

abc: 4.637 4.637 6.090
angles: 90.00 90.00 90.00
Sites, in units of the cell vectors:
P 0.000 0.000 0.500
K 0.500 0.500 0.500
O 0.000 0.500 0.000
O 0.500 0.000 0.000
La 0.000 0.000 0.000

ΔE to the lowest computed polymorph, meV/atom: 0
Formation energy (no corrections), eV per atom: -1.092
Fermi-level density of states, states/eV per cell: 5.38
E, eV per atom: -5.36
Spin magnetization, μB per atom: 0.61
Symmetry: No. 123

3.
Compound: K3La2PaO6
Source: Alexandria via LeMat-Bulk
Functional: PBE
Structure: relaxed

abc: 6.341 6.341 6.687
angles: 99.09 99.09 120.03
Sites, in units of the cell vectors:
K 0.165 0.835 0.500
K 0.835 0.165 0.500
K 0.500 0.500 0.500
La 0.333 0.667 0.000
La 0.667 0.333 0.000
Pa 0.000 0.000 0.000
O 0.935 0.631 0.808
O 0.760 0.760 0.191
O 0.065 0.369 0.192
O 0.631 0.935 0.808
O 0.240 0.240 0.809
O 0.369 0.065 0.192

Formation energy (no corrections), eV per atom: -2.565
Fermi-level density of states, states/eV per cell: 5.82
E, eV per atom: -6.93
Spin magnetization, μB per atom: 0.02
Symmetry: No. 12

4.
Compound: KLaPa2O8
Source: Alexandria via LeMat-Bulk
Functional: PBE
Structure: relaxed

abc: 5.669 5.669 6.763
angles: 114.78 114.78 90.00
Sites, in units of the cell vectors:
K 0.000 0.000 0.000
La 0.750 0.250 0.500
Pa 0.500 0.500 0.000
Pa 0.250 0.750 0.500
O 0.870 0.844 0.258
O 0.388 0.414 0.258
O 0.585 0.612 0.742
O 0.156 0.130 0.742
O 0.870 0.415 0.258
O 0.388 0.844 0.258
O 0.156 0.612 0.742
O 0.586 0.130 0.742

Formation energy (no corrections), eV per atom: -2.912
Fermi-level density of states, states/eV per cell: 7.89
E, eV per atom: -8.30
Spin magnetization, μB per atom: 0.17
Symmetry: No. 119

Please write out number 4 again, unchanged.
Compound: KLaPa2O8
Source: Alexandria via LeMat-Bulk
Functional: PBE
Structure: relaxed

abc: 5.669 5.669 6.763
angles: 114.78 114.78 90.00
Sites, in units of the cell vectors:
K 0.000 0.000 0.000
La 0.750 0.250 0.500
Pa 0.500 0.500 0.000
Pa 0.250 0.750 0.500
O 0.870 0.844 0.258
O 0.388 0.414 0.258
O 0.585 0.612 0.742
O 0.156 0.130 0.742
O 0.870 0.415 0.258
O 0.388 0.844 0.258
O 0.156 0.612 0.742
O 0.586 0.130 0.742

Formation energy (no corrections), eV per atom: -2.912
Fermi-level density of states, states/eV per cell: 7.89
E, eV per atom: -8.30
Spin magnetization, μB per atom: 0.17
Symmetry: No. 119

Repeat the first record exactly.
Compound: KLaPO4
Source: Alexandria via LeMat-Bulk
Functional: PBE
Structure: relaxed

abc: 6.289 6.289 6.289
angles: 60.00 60.00 60.00
Sites, in units of the cell vectors:
K 0.750 0.750 0.750
La 0.500 0.500 0.500
P 0.250 0.250 0.250
O 0.351 0.351 0.947
O 0.351 0.351 0.351
O 0.351 0.947 0.351
O 0.947 0.351 0.351

Formation energy (no corrections), eV per atom: -2.337
Fermi-level density of states, states/eV per cell: 1.45
E, eV per atom: -6.80
Spin magnetization, μB per atom: 0.00
Symmetry: No. 216